Compound: AcCdGeO
Source: the Alexandria database
Functional: GGA-PBE
Structure: relaxed

Output
VASP energy = -5.19 eV per atom
Crystal system = tetragonal
E_form (uncorrected) = -1.543 eV per atom
Total magnetization = 0.0 μB/f.u.

a b c (Å): 4.285 4.285 10.016
angles (deg): 90.00 90.00 90.00
Space group P4/nmm (No. 129, origin choice 2)
Asymmetric unit:
Ac 0.250 0.250 0.125
Cd 0.250 0.750 0.500
Ge 0.250 0.250 0.685
O 0.250 0.750 0.000

---

Compound: Nd2Hg3Pd
Source: the Alexandria database
Functional: GGA-PBE
Structure: relaxed

Output
VASP energy = -3.13 eV per atom
Crystal system = orthorhombic
Total magnetization = 0.0 μB/f.u.
DFT formation energy = -0.529 eV/atom

a b c (Å): 3.566 4.871 8.596
angles (deg): 90.00 90.00 90.00
Space group Pmm2 (No. 25)
Asymmetric unit:
Nd 0.000 0.000 0.000
Nd 0.000 0.500 0.452
Hg 0.500 0.000 0.627
Hg 0.500 0.500 0.141
Hg 0.500 0.500 0.804
Pd 0.500 0.000 0.302

---

Compound: NaH3Pd
Source: the Alexandria database
Functional: GGA-PBE
Structure: relaxed

Output
Energy relative to the lowest polymorph listed for this composition = 115 meV/atom
VASP energy = -3.46 eV per atom
Crystal system = monoclinic
Total magnetization = 0.0 μB/f.u.

a b c (Å): 3.641 5.451 5.541
angles (deg): 90.00 108.94 90.00
Space group P2_1/m (No. 11)
Asymmetric unit:
Na 0.187 0.250 0.378
H 0.044 0.750 0.090
H 0.390 0.524 0.777
Pd 0.470 0.250 0.940

---

Compound: PmIn2Te6
Source: the Alexandria database
Functional: GGA-PBE
Structure: relaxed

Output
VASP energy = -3.64 eV per atom
Crystal system = monoclinic
E_form (uncorrected) = -0.409 eV per atom
Total magnetization = 0.0 μB/f.u.

a b c (Å): 15.648 9.849 9.099
angles (deg): 90.00 109.99 90.00
Space group C2/c (No. 15)
Asymmetric unit:
Pm 0.000 0.160 0.250
In 0.205 0.499 0.242
Te 0.087 0.453 0.419
Te 0.101 0.085 0.618
Te 0.154 0.198 0.096

---

Compound: LiYInCo
Source: the Alexandria database
Functional: GGA-PBE
Structure: relaxed

Output
VASP energy = -4.74 eV per atom
Crystal system = cubic
Total magnetization = 0.8 μB/f.u.
DFT formation energy = -0.188 eV/atom

a b c (Å): 6.626 6.626 6.626
angles (deg): 90.00 90.00 90.00
Space group F-43m (No. 216)
Asymmetric unit:
Li 0.000 0.000 0.000
Y 0.250 0.250 0.250
In 0.250 0.250 0.750
Co 0.000 0.000 0.500

---

Compound: ScTl2Ag
Source: the Alexandria database
Functional: GGA-PBE
Structure: relaxed

Output
VASP energy = -3.44 eV per atom
Crystal system = trigonal
Total magnetization = 0.0 μB/f.u.
DFT formation energy = 0.040 eV/atom

a b c (Å): 3.3942 3.3942 28.5178
angles (deg): 90.00 90.00 120.00
Space group R-3m (No. 166, hexagonal axes)
Asymmetric unit:
Sc 0.0000 0.0000 0.0000
Tl 0.0000 0.0000 0.2476
Ag 0.0000 0.0000 0.5000